[1]
BaTl2Hg2: optimized geometry, PBE.

Lattice parameters (Å, degrees): 7.052 7.052 7.052 136.28 136.28 63.55
Positions (direct):
Ba1 0.000 0.000 0.000
Tl1 0.376 0.376 0.000
Tl2 0.624 0.624 0.000
Hg1 0.250 0.750 0.500
Hg2 0.750 0.250 0.500

Calculated values
The value obtained for the total magnetization is 0.00 μB/f.u. For the formation energy, the calculation gives -130.1 kJ/mol of formula units.


[2]
Ba5TlHg6: optimized geometry, PBE.

Lattice parameters (Å, degrees): 10.107 10.107 5.851 106.80 106.80 119.17
Positions (direct):
Ba1 0.000 0.000 0.000
Ba2 0.172 0.828 0.500
Ba3 0.345 0.655 0.000
Ba4 0.655 0.345 0.000
Ba5 0.828 0.172 0.500
Tl1 0.500 0.500 0.500
Hg1 0.080 0.413 0.247
Hg2 0.235 0.235 0.735
Hg3 0.413 0.080 0.247
Hg4 0.587 0.920 0.753
Hg5 0.765 0.765 0.265
Hg6 0.920 0.587 0.753

Calculated values
The value obtained for the total magnetization is 0.00 μB/f.u. For the formation energy, the calculation gives -531.8 kJ/mol of formula units.


[3]
BaTl7Hg5: optimized geometry, PBE.

Lattice parameters (Å, degrees): 8.587 8.587 8.587 138.37 97.10 97.41
Positions (direct):
Ba1 0.000 0.000 0.000
Tl1 0.222 0.512 0.710
Tl2 0.222 0.722 0.500
Tl3 0.363 0.363 0.000
Tl4 0.369 0.012 0.357
Tl5 0.653 0.653 0.000
Tl6 0.655 0.012 0.643
Tl7 0.802 0.512 0.290
Hg1 0.007 0.013 0.495
Hg2 0.007 0.512 0.995
Hg3 0.518 0.013 0.005
Hg4 0.518 0.512 0.505
Hg5 0.809 0.309 0.500

Calculated values
The value obtained for the total magnetization is 0.00 μB/f.u. For the formation energy, the calculation gives -123.2 kJ/mol of formula units.


[4]
BaTl3Hg3: optimized geometry, PBE.

Lattice parameters (Å, degrees): 8.253 8.253 8.253 90.00 90.00 90.00
Positions (direct):
Ba1 0.000 0.000 0.000
Ba2 0.500 0.500 0.500
Tl1 0.000 0.250 0.500
Tl2 0.000 0.750 0.500
Tl3 0.250 0.500 0.000
Tl4 0.500 0.000 0.250
Tl5 0.500 0.000 0.750
Tl6 0.750 0.500 0.000
Hg1 0.000 0.500 0.250
Hg2 0.000 0.500 0.750
Hg3 0.250 0.000 0.500
Hg4 0.500 0.250 0.000
Hg5 0.500 0.750 0.000
Hg6 0.750 0.000 0.500

Calculated values
The value obtained for the total magnetization is 0.00 μB/f.u. As for the energy above the lowest structure with this stoichiometry: 228 meV per atom. For the formation energy, the calculation gives 17.6 kJ/mol of formula units.


[5]
BaTl2Hg2: optimized geometry, PBE.

Lattice parameters (Å, degrees): 11.049 11.049 5.192 90.00 90.00 90.00
Positions (direct):
Ba1 0.148 0.148 0.000
Ba2 0.352 0.648 0.500
Ba3 0.648 0.352 0.500
Ba4 0.852 0.852 0.000
Tl1 0.029 0.359 0.500
Tl2 0.141 0.529 0.000
Tl3 0.359 0.029 0.500
Tl4 0.471 0.859 0.000
Tl5 0.529 0.141 0.000
Tl6 0.641 0.971 0.500
Tl7 0.859 0.471 0.000
Tl8 0.971 0.641 0.500
Hg1 0.095 0.905 0.500
Hg2 0.187 0.813 0.000
Hg3 0.313 0.313 0.500
Hg4 0.405 0.405 0.000
Hg5 0.595 0.595 0.000
Hg6 0.687 0.687 0.500
Hg7 0.813 0.187 0.000
Hg8 0.905 0.095 0.500

Calculated values
The value obtained for the total magnetization is 0.00 μB/f.u. For the formation energy, the calculation gives -156.1 kJ/mol of formula units.


[6]
BaTl6Hg12: optimized geometry, PBE.

Lattice parameters (Å, degrees): 9.077 9.077 9.077 110.39 110.39 110.39
Positions (direct):
Ba1 0.000 0.000 0.000
Tl1 0.054 0.355 0.564
Tl2 0.355 0.564 0.054
Tl3 0.436 0.946 0.645
Tl4 0.564 0.054 0.355
Tl5 0.645 0.436 0.946
Tl6 0.946 0.645 0.436
Hg1 0.110 0.734 0.174
Hg2 0.174 0.110 0.734
Hg3 0.213 0.484 0.325
Hg4 0.266 0.826 0.890
Hg5 0.325 0.213 0.484
Hg6 0.484 0.325 0.213
Hg7 0.516 0.675 0.787
Hg8 0.675 0.787 0.516
Hg9 0.734 0.174 0.110
Hg10 0.787 0.516 0.675
Hg11 0.826 0.890 0.266
Hg12 0.890 0.266 0.826

Calculated values
The value obtained for the total magnetization is 0.00 μB/f.u. As for the energy above the lowest structure with this stoichiometry: 0 meV per atom. For the formation energy, the calculation gives -193.5 kJ/mol of formula units.


[7]
BaTlHg4: optimized geometry, PBE.

Lattice parameters (Å, degrees): 11.745 16.035 4.072 90.00 90.00 90.00
Positions (direct):
Ba1 0.142 0.099 0.000
Ba2 0.358 0.599 0.000
Ba3 0.642 0.401 0.000
Ba4 0.858 0.901 0.000
Tl1 0.149 0.404 0.000
Tl2 0.351 0.904 0.000
Tl3 0.649 0.096 0.000
Tl4 0.851 0.596 0.000
Hg1 0.032 0.265 0.500
Hg2 0.104 0.561 0.500
Hg3 0.111 0.919 0.500
Hg4 0.214 0.746 0.500
Hg5 0.286 0.246 0.500
Hg6 0.389 0.419 0.500
Hg7 0.396 0.061 0.500
Hg8 0.468 0.765 0.500
Hg9 0.532 0.235 0.500
Hg10 0.604 0.939 0.500
Hg11 0.611 0.581 0.500
Hg12 0.714 0.754 0.500
Hg13 0.786 0.254 0.500
Hg14 0.889 0.081 0.500
Hg15 0.896 0.439 0.500
Hg16 0.968 0.735 0.500

Calculated values
The value obtained for the total magnetization is 0.00 μB/f.u. As for the energy above the lowest structure with this stoichiometry: 57 meV per atom. For the formation energy, the calculation gives -126.1 kJ/mol of formula units.


[8]
Ba3Tl3Hg: optimized geometry, PBE.

Lattice parameters (Å, degrees): 7.037 7.037 18.515 104.27 104.27 38.06
Positions (direct):
Ba1 0.005 0.005 0.384
Ba2 0.115 0.115 0.925
Ba3 0.224 0.224 0.230
Ba4 0.776 0.776 0.770
Ba5 0.885 0.885 0.075
Ba6 0.995 0.995 0.616
Tl1 0.332 0.332 0.468
Tl2 0.396 0.396 0.923
Tl3 0.497 0.497 0.773
Tl4 0.503 0.503 0.227
Tl5 0.604 0.604 0.077
Tl6 0.668 0.668 0.532
Hg1 0.290 0.290 0.629
Hg2 0.710 0.710 0.371

Calculated values
The value obtained for the total magnetization is 0.00 μB/f.u. For the formation energy, the calculation gives -265.6 kJ/mol of formula units.


[9]
BaTl3Hg7: optimized geometry, PBE.

Lattice parameters (Å, degrees): 12.839 12.839 10.428 90.00 90.00 157.30
Positions (direct):
Ba1 0.043 0.957 0.750
Ba2 0.957 0.043 0.250
Tl1 0.116 0.884 0.091
Tl2 0.116 0.884 0.409
Tl3 0.199 0.801 0.750
Tl4 0.801 0.199 0.250
Tl5 0.884 0.116 0.591
Tl6 0.884 0.116 0.909
Hg1 0.241 0.759 0.087
Hg2 0.241 0.759 0.413
Hg3 0.327 0.673 0.750
Hg4 0.368 0.632 0.100
Hg5 0.368 0.632 0.400
Hg6 0.461 0.539 0.606
Hg7 0.461 0.539 0.894
Hg8 0.539 0.461 0.106
Hg9 0.539 0.461 0.394
Hg10 0.632 0.368 0.600
Hg11 0.632 0.368 0.900
Hg12 0.673 0.327 0.250
Hg13 0.759 0.241 0.587
Hg14 0.759 0.241 0.913

Calculated values
The value obtained for the total magnetization is 0.00 μB/f.u. For the formation energy, the calculation gives -141.1 kJ/mol of formula units.


[10]
BaTl4Hg15: optimized geometry, PBE.

Lattice parameters (Å, degrees): 5.082 5.082 22.474 90.00 90.00 90.00
Positions (direct):
Ba1 0.000 0.000 0.000
Tl1 0.000 0.000 0.212
Tl2 0.000 0.000 0.400
Tl3 0.000 0.000 0.600
Tl4 0.000 0.000 0.788
Hg1 0.000 0.500 0.109
Hg2 0.000 0.500 0.304
Hg3 0.000 0.500 0.500
Hg4 0.000 0.500 0.696
Hg5 0.000 0.500 0.891
Hg6 0.500 0.000 0.109
Hg7 0.500 0.000 0.304
Hg8 0.500 0.000 0.500
Hg9 0.500 0.000 0.696
Hg10 0.500 0.000 0.891
Hg11 0.500 0.500 0.000
Hg12 0.500 0.500 0.204
Hg13 0.500 0.500 0.401
Hg14 0.500 0.500 0.599
Hg15 0.500 0.500 0.796

Calculated values
The value obtained for the total magnetization is 0.00 μB/f.u. For the formation energy, the calculation gives -211.3 kJ/mol of formula units.


[11]
Ba2Tl12Hg: optimized geometry, PBE.

Lattice parameters (Å, degrees): 7.323 7.323 19.129 90.00 90.00 90.00
Positions (direct):
Ba1 0.250 0.750 0.247
Ba2 0.250 0.750 0.753
Ba3 0.750 0.250 0.247
Ba4 0.750 0.250 0.753
Tl1 0.001 0.501 0.091
Tl2 0.001 0.999 0.909
Tl3 0.086 0.586 0.567
Tl4 0.086 0.914 0.433
Tl5 0.250 0.250 0.189
Tl6 0.250 0.250 0.346
Tl7 0.250 0.250 0.654
Tl8 0.250 0.250 0.811
Tl9 0.414 0.586 0.433
Tl10 0.414 0.914 0.567
Tl11 0.499 0.501 0.909
Tl12 0.499 0.999 0.091
Tl13 0.501 0.001 0.909
Tl14 0.501 0.499 0.091
Tl15 0.586 0.086 0.433
Tl16 0.586 0.414 0.567
Tl17 0.750 0.750 0.189
Tl18 0.750 0.750 0.346
Tl19 0.750 0.750 0.654
Tl20 0.750 0.750 0.811
Tl21 0.914 0.086 0.567
Tl22 0.914 0.414 0.433
Tl23 0.999 0.001 0.091
Tl24 0.999 0.499 0.909
Hg1 0.250 0.750 0.000
Hg2 0.750 0.250 0.000

Calculated values
The value obtained for the total magnetization is 0.00 μB/f.u. For the formation energy, the calculation gives -145.2 kJ/mol of formula units.


[12]
Ba2TlHg7: optimized geometry, PBE.

Lattice parameters (Å, degrees): 4.861 4.861 12.975 90.00 90.00 90.00
Positions (direct):
Ba1 0.000 0.500 0.247
Ba2 0.500 0.000 0.753
Tl1 0.000 0.000 0.500
Hg1 0.000 0.000 0.000
Hg2 0.000 0.500 0.640
Hg3 0.000 0.500 0.864
Hg4 0.500 0.000 0.136
Hg5 0.500 0.000 0.360
Hg6 0.500 0.500 0.000
Hg7 0.500 0.500 0.500

Calculated values
The value obtained for the total magnetization is 0.00 μB/f.u. For the formation energy, the calculation gives -314.1 kJ/mol of formula units.


[13]
BaTlHg14: optimized geometry, PBE.

Lattice parameters (Å, degrees): 10.929 10.929 10.929 117.48 113.21 98.30
Positions (direct):
Ba1 0.336 0.086 0.250
Ba2 0.664 0.914 0.750
Tl1 0.000 0.500 0.500
Tl2 0.500 0.500 0.000
Hg1 0.004 0.230 0.061
Hg2 0.004 0.943 0.774
Hg3 0.023 0.148 0.625
Hg4 0.023 0.398 0.875
Hg5 0.201 0.564 0.369
Hg6 0.201 0.831 0.636
Hg7 0.237 0.329 0.592
Hg8 0.237 0.645 0.908
Hg9 0.305 0.169 0.869
Hg10 0.305 0.436 0.136
Hg11 0.331 0.057 0.561
Hg12 0.331 0.770 0.274
Hg13 0.443 0.556 0.614
Hg14 0.443 0.829 0.886
Hg15 0.557 0.171 0.114
Hg16 0.557 0.444 0.386
Hg17 0.669 0.230 0.726
Hg18 0.669 0.943 0.439
Hg19 0.695 0.564 0.864
Hg20 0.695 0.831 0.131
Hg21 0.763 0.355 0.092
Hg22 0.763 0.671 0.408
Hg23 0.799 0.169 0.364
Hg24 0.799 0.436 0.631
Hg25 0.977 0.602 0.125
Hg26 0.977 0.852 0.375
Hg27 0.996 0.057 0.226
Hg28 0.996 0.770 0.939

Calculated values
The value obtained for the total magnetization is 0.00 μB/f.u. For the formation energy, the calculation gives -120.2 kJ/mol of formula units.


[14]
BaTl2Hg6: optimized geometry, PBE.

Lattice parameters (Å, degrees): 9.189 9.189 3.677 90.00 90.00 120.00
Positions (direct):
Ba1 0.000 0.000 0.000
Tl1 0.333 0.667 0.000
Tl2 0.667 0.333 0.000
Hg1 0.000 0.338 0.500
Hg2 0.000 0.662 0.500
Hg3 0.338 0.000 0.500
Hg4 0.338 0.338 0.500
Hg5 0.662 0.000 0.500
Hg6 0.662 0.662 0.500

Calculated values
The value obtained for the total magnetization is 0.00 μB/f.u. For the formation energy, the calculation gives -143.4 kJ/mol of formula units.


[15]
Ba2TlHg2: optimized geometry, PBE.

Lattice parameters (Å, degrees): 9.653 9.653 4.158 90.00 90.00 90.00
Positions (direct):
Ba1 0.159 0.341 0.000
Ba2 0.341 0.841 0.000
Ba3 0.659 0.159 0.000
Ba4 0.841 0.659 0.000
Tl1 0.000 0.000 0.000
Tl2 0.500 0.500 0.000
Hg1 0.135 0.635 0.500
Hg2 0.365 0.135 0.500
Hg3 0.635 0.865 0.500
Hg4 0.865 0.365 0.500

Calculated values
The value obtained for the total magnetization is 0.00 μB/f.u. As for the energy above the lowest structure with this stoichiometry: 119 meV per atom. For the formation energy, the calculation gives -153.7 kJ/mol of formula units.


[16]
Ba3TlHg5: optimized geometry, PBE.

Lattice parameters (Å, degrees): 10.075 10.075 6.981 90.00 90.00 120.00
Positions (direct):
Ba1 0.000 0.363 0.250
Ba2 0.000 0.637 0.750
Ba3 0.363 0.000 0.250
Ba4 0.363 0.363 0.750
Ba5 0.637 0.000 0.750
Ba6 0.637 0.637 0.250
Tl1 0.000 0.000 0.000
Tl2 0.000 0.000 0.500
Hg1 0.000 0.295 0.750
Hg2 0.000 0.705 0.250
Hg3 0.295 0.000 0.750
Hg4 0.295 0.295 0.250
Hg5 0.333 0.667 0.000
Hg6 0.333 0.667 0.500
Hg7 0.667 0.333 0.000
Hg8 0.667 0.333 0.500
Hg9 0.705 0.000 0.250
Hg10 0.705 0.705 0.750

Calculated values
The value obtained for the total magnetization is 0.00 μB/f.u. For the formation energy, the calculation gives -382.2 kJ/mol of formula units.


[17]
BaTlHg: optimized geometry, PBE.

Lattice parameters (Å, degrees): 6.680 6.680 8.502 127.82 127.82 46.57
Positions (direct):
Ba1 0.038 0.038 0.295
Ba2 0.962 0.962 0.705
Tl1 0.336 0.336 0.896
Tl2 0.664 0.664 0.104
Hg1 0.336 0.336 0.293
Hg2 0.664 0.664 0.707

Calculated values
The value obtained for the total magnetization is 0.00 μB/f.u. As for the energy above the lowest structure with this stoichiometry: 0 meV per atom. For the formation energy, the calculation gives -127.1 kJ/mol of formula units.